Er12Tl5Zn2 (PBE-GGA, relaxed); E_form = -0.143 eV/atom; symmetry = No. 12; DOS(E_F) = 19.7 states/eV/cell
1.0
8.508 -3.530 0.000
8.508 3.530 0.000
-1.103 0.000 8.888
Er Tl Zn
12 5 2
direct
0.005 0.005 0.194
0.095 0.603 0.985
0.101 0.590 0.573
0.397 0.905 0.015
0.410 0.899 0.427
0.465 0.465 0.318
0.535 0.535 0.682
0.590 0.101 0.573
0.603 0.095 0.985
0.899 0.410 0.427
0.905 0.397 0.015
0.995 0.995 0.806
0.200 0.200 0.737
0.275 0.275 0.254
0.500 0.500 0.000
0.725 0.725 0.746
0.800 0.800 0.263
0.169 0.831 0.500
0.831 0.169 0.500